A plane-wave DFT calculation with GGA-PBE was carried out for Cu4PCl after structural relaxation. Values from VASP.

Output
**Space group**: F-43m
**Formation energy without anion corrections**: 0.454 eV/atom
**V**: 14.4 Å³/atom
**Density of states at the Fermi level**: 5.5 states/eV/f.u.
**Relative energy among the computed polymorphs**: 55.6 kJ/mol of atoms
**Magnetic moment**: 0.00 μB per atom

Cell and atoms, written as Quantum ESPRESSO input:
```
&SYSTEM
  ibrav = 0, nat = 6, ntyp = 3
/
ATOMIC_SPECIES
Cu 63.55 Cu.upf
P 30.97 P.upf
Cl 35.45 Cl.upf
ATOMIC_POSITIONS crystal
Cu 0.376 0.873 0.376
Cu 0.376 0.376 0.873
Cu 0.376 0.376 0.376
Cu 0.873 0.376 0.376
P 0.750 0.750 0.750
Cl 0.000 0.000 0.000
CELL_PARAMETERS angstrom
0.000 3.509 3.509
3.509 0.000 3.509
3.509 3.509 0.000
```